PBE SrLaZr2, relaxed; symmetry = Cm (8); calculated formation energy = 0.34 eV per atom; D(E_F) = 4.746 states/eV/cell; total magnetization = 0.0 Bohr magnetons per cell; distance to the lowest polymorph of the same formula = 0.106 eV per atom
1.0
5.2064 -1.6825 0.0000
5.2064 1.6825 0.0000
-0.5443 0.0000 7.3209
Sr La Zr
1 1 2
Direct
0.0000 0.0000 0.0000 Sr
0.7612 0.7612 0.3191 La
0.2440 0.2440 0.7061 Zr
0.5075 0.5075 0.5715 Zr

PBE MnAlSi2Te, relaxed; symmetry = P4/mmm (123); energy relative to the elements, uncorrected = 402 meV/atom; D(E_F) = 2.972 states/eV/cell; total magnetization = 0.4 Bohr magnetons per cell
1.0
4.3374 0.0000 0.0000
0.0000 4.3374 0.0000
0.0000 0.0000 5.5699
Mn Al Si Te
1 1 2 1
Direct
0.0000 0.0000 0.0000 Mn
0.5000 0.5000 0.5000 Al
0.0000 0.5000 0.0000 Si
0.5000 0.0000 0.0000 Si
0.0000 0.0000 0.5000 Te

PBE Pr2NdZn3, relaxed; symmetry = P-3m1 (164); calculated formation energy = -0.31 eV per atom; D(E_F) = 5.722 states/eV/cell; total magnetization = 0.0 Bohr magnetons per cell; distance to the lowest polymorph of the same formula = 0.000 eV per atom
1.0
5.2314 0.0000 0.0000
-2.6157 4.5305 0.0000
0.0000 0.0000 6.4207
Pr Nd Zn
2 1 3
Direct
0.3333 0.6667 0.1684 Pr
0.6667 0.3333 0.8316 Pr
0.0000 0.0000 0.5000 Nd
0.0000 0.0000 0.0000 Zn
0.3333 0.6667 0.6666 Zn
0.6667 0.3333 0.3334 Zn

PBE Sm4Ho5Tl2, relaxed; symmetry = R-3m (166); calculated formation energy = 0.24 eV per atom; D(E_F) = 14.432 states/eV/cell; total magnetization = 0.0 Bohr magnetons per cell
1.0
2.6170 1.5109 15.8312
-2.6170 1.5109 15.8312
0.0000 -3.0218 15.8312
Sm Ho Tl
4 5 2
Direct
0.0733 0.0733 0.0733 Sm
0.2244 0.2244 0.2244 Sm
0.7756 0.7756 0.7756 Sm
0.9267 0.9267 0.9267 Sm
0.0000 0.0000 0.0000 Ho
0.1484 0.1484 0.1484 Ho
0.3016 0.3016 0.3016 Ho
0.6984 0.6984 0.6984 Ho
0.8516 0.8516 0.8516 Ho
0.3766 0.3766 0.3766 Tl
0.6234 0.6234 0.6234 Tl

PBE CaMgCdF6, relaxed; symmetry = P4_2nm (102); energy relative to the elements, uncorrected = -3205 meV/atom; D(E_F) = 0.000 states/eV/cell; total magnetization = 0.0 Bohr magnetons per cell
1.0
5.0470 0.0000 0.0000
0.0000 5.0470 0.0000
0.0000 0.0000 10.2105
Ca Mg Cd F
2 2 2 12
Direct
0.0000 0.0000 0.0000 Ca
0.5000 0.5000 0.5000 Ca
0.0000 0.0000 0.6645 Mg
0.5000 0.5000 0.1645 Mg
0.0000 0.0000 0.3305 Cd
0.5000 0.5000 0.8305 Cd
0.1849 0.1849 0.5132 F
0.1857 0.1857 0.8168 F
0.2153 0.2153 0.1652 F
0.2847 0.7153 0.6652 F
0.3143 0.6857 0.3168 F
0.3151 0.6849 0.0132 F
0.6849 0.3151 0.0132 F
0.6857 0.3143 0.3168 F
0.7153 0.2847 0.6652 F
0.7847 0.7847 0.1652 F
0.8143 0.8143 0.8168 F
0.8151 0.8151 0.5132 F

PBE LiCo5S8, relaxed; symmetry = F-43m (216); energy relative to the elements, uncorrected = -473 meV/atom; D(E_F) = 7.842 states/eV/cell; total magnetization = 2.0 Bohr magnetons per cell
1.0
0.0000 4.7448 4.7448
4.7448 0.0000 4.7448
4.7448 4.7448 0.0000
Li Co S
1 5 8
Direct
0.0000 0.0000 0.0000 Li
0.1198 0.6267 0.6267 Co
0.2500 0.2500 0.2500 Co
0.6267 0.1198 0.6267 Co
0.6267 0.6267 0.1198 Co
0.6267 0.6267 0.6267 Co
0.3844 0.3844 0.3844 S
0.3844 0.3844 0.8467 S
0.3844 0.8467 0.3844 S
0.4222 0.8593 0.8593 S
0.8467 0.3844 0.3844 S
0.8593 0.4222 0.8593 S
0.8593 0.8593 0.4222 S
0.8593 0.8593 0.8593 S

PBE Si3NiIr2, relaxed; symmetry = Cmcm (63); energy relative to the elements, uncorrected = -465 meV/atom; D(E_F) = 6.533 states/eV/cell; total magnetization = 0.0 Bohr magnetons per cell
1.0
1.4526 -6.4397 0.0000
1.4526 6.4397 0.0000
0.0000 0.0000 8.4140
Si Ni Ir
6 2 4
Direct
0.0974 0.9026 0.7500 Si
0.3396 0.6604 0.5228 Si
0.3396 0.6604 0.9772 Si
0.6604 0.3396 0.0228 Si
0.6604 0.3396 0.4772 Si
0.9026 0.0974 0.2500 Si
0.4431 0.5569 0.7500 Ni
0.5569 0.4431 0.2500 Ni
0.0000 0.0000 0.0000 Ir
0.0000 0.0000 0.5000 Ir
0.2470 0.7530 0.2500 Ir
0.7530 0.2470 0.7500 Ir

PBE In3Sn2PbS8, relaxed; symmetry = R3m (160); energy relative to the elements, uncorrected = -428 meV/atom; D(E_F) = 6.499 states/eV/cell; total magnetization = 0.0 Bohr magnetons per cell
1.0
3.9206 2.2635 7.0990
-3.9206 2.2635 7.0990
0.0000 -4.5271 7.0990
In Sn Pb S
3 2 1 8
Direct
0.1672 0.1672 0.6657 In
0.1672 0.6657 0.1672 In
0.6657 0.1672 0.1672 In
0.1754 0.1754 0.1754 Sn
0.7872 0.7872 0.7872 Sn
0.5357 0.5357 0.5357 Pb
0.3895 0.9142 0.9142 S
0.3951 0.3951 0.3951 S
0.4123 0.4123 0.9557 S
0.4123 0.9557 0.4123 S
0.9142 0.3895 0.9142 S
0.9142 0.9142 0.3895 S
0.9376 0.9376 0.9376 S
0.9557 0.4123 0.4123 S